The following is a DFT calculation (PBE) of crystalline CuTcHgGe at its relaxed geometry.

abc: 6.338 6.338 6.338
angles: 90.00 90.00 90.00
Space group F-43m (No. 216)
One atom of each set of equivalent atoms:
Cu  0.000  0.000  0.000
Tc  0.000  0.000  0.500
Hg  0.250  0.250  0.250
Ge  0.250  0.250  0.750

Spin magnetization in μB/cell: 0.00
E_tot in eV per cell: -69.00
Excess energy over the best structure of this formula in the dataset in meV per atom: 0.0


The following is a DFT calculation (PBE) of crystalline CsBi5W3 at its relaxed geometry.

abc: 5.7537 5.7537 9.5529
angles: 90.00 90.00 120.00
Space group P6/mmm (No. 191)
One atom of each set of equivalent atoms:
Cs  0.0000  0.0000  0.0000
Bi  0.0000  0.0000  0.5000
Bi  0.3333  0.6667  0.2437
W  0.0000  0.5000  0.5000

Spin magnetization in μB/cell: 0.00
E_tot in eV per cell: -56.69


The following is a DFT calculation (PBE) of crystalline AcNbW at its relaxed geometry.

abc: 6.741 6.741 6.741
angles: 90.00 90.00 90.00
Space group F-43m (No. 216)
One atom of each set of equivalent atoms:
Ac  0.000  0.000  0.000
Nb  0.250  0.250  0.250
W  0.000  0.000  0.500

Spin magnetization in μB/cell: 0.01
DFT formation energy in eV per atom: 1.112
E_tot in eV per cell: -95.30
Excess energy over the best structure of this formula in the dataset in meV per atom: 683.8


The following is a DFT calculation (PBE) of crystalline GdRe at its relaxed geometry.

abc: 3.0889 3.0889 4.9068
angles: 90.00 90.00 120.00
Space group P-6m2 (No. 187)
One atom of each set of equivalent atoms:
Gd  0.0000  0.0000  0.0000
Re  0.6667  0.3333  0.5000

Spin magnetization in μB/cell: 0.02
DFT formation energy in eV per atom: 0.839
E_tot in eV per cell: -15.40
Excess energy over the best structure of this formula in the dataset in meV per atom: 0.0


The following is a DFT calculation (PBE) of crystalline PrMgB at its relaxed geometry.

abc: 6.326 6.326 6.326
angles: 90.00 90.00 90.00
Space group F-43m (No. 216)
One atom of each set of equivalent atoms:
Pr  0.000  0.000  0.000
Mg  0.000  0.000  0.500
B  0.250  0.250  0.750

Spin magnetization in μB/cell: 0.01
E_tot in eV per cell: -51.32
Excess energy over the best structure of this formula in the dataset in meV per atom: 0.0


The following is a DFT calculation (PBE) of crystalline NbInCuHg at its relaxed geometry.

abc: 6.696 6.696 6.696
angles: 90.00 90.00 90.00
Space group F-43m (No. 216)
One atom of each set of equivalent atoms:
Nb  0.000  0.000  0.000
In  0.250  0.250  0.250
Cu  0.000  0.000  0.500
Hg  0.250  0.250  0.750

Spin magnetization in μB/cell: 5.16
E_tot in eV per cell: -60.97
Excess energy over the best structure of this formula in the dataset in meV per atom: 0.0


The following is a DFT calculation (PBE) of crystalline LuAsPd at its relaxed geometry.

abc: 7.1516 7.1516 3.9015
angles: 90.00 90.00 120.00
Space group P-62m (No. 189)
One atom of each set of equivalent atoms:
Lu  0.0000  0.6115  0.0000
As  0.0000  0.2789  0.5000
Pd  0.0000  0.0000  0.0000
Pd  0.3333  0.6667  0.5000

Spin magnetization in μB/cell: 0.00
E_tot in eV per cell: -51.98


The following is a DFT calculation (PBE) of crystalline Cs2ZrAg2SeS3 at its relaxed geometry.

abc: 6.233 6.248 7.814
angles: 66.43 89.63 89.50
Space group P1 (No. 1)
One atom of each set of equivalent atoms:
Cs  0.000  0.000  0.000
Cs  0.469  0.500  0.000
Zr  0.736  0.498  0.505
Ag  0.234  0.492  0.507
Ag  0.741  0.999  0.507
Se  0.501  0.842  0.292
S  0.512  0.176  0.704
S  0.957  0.621  0.705
S  0.961  0.372  0.308

Spin magnetization in μB/cell: 0.00
E_tot in eV per cell: -41.18


The following is a DFT calculation (PBE) of crystalline TcGeMo at its relaxed geometry.

abc: 5.948 5.948 5.948
angles: 90.00 90.00 90.00
Space group F-43m (No. 216)
One atom of each set of equivalent atoms:
Tc  0.000  0.000  0.000
Ge  0.250  0.250  0.750
Mo  0.250  0.250  0.250

Spin magnetization in μB/cell: 0.01
E_tot in eV per cell: -101.44
Excess energy over the best structure of this formula in the dataset in meV per atom: 0.0


The following is a DFT calculation (PBE) of crystalline LaTmPu at its relaxed geometry.

abc: 7.336 7.336 7.336
angles: 90.00 90.00 90.00
Space group F-43m (No. 216)
One atom of each set of equivalent atoms:
La  0.000  0.000  0.000
Tm  0.250  0.250  0.250
Pu  0.250  0.250  0.750

Spin magnetization in μB/cell: 27.37
DFT formation energy in eV per atom: 0.716
E_tot in eV per cell: -85.50
Excess energy over the best structure of this formula in the dataset in meV per atom: 0.0


The following is a DFT calculation (PBE) of crystalline AcPaNO at its relaxed geometry.

abc: 4.434 4.434 9.282
angles: 90.00 90.00 90.00
Space group P4/nmm (No. 129, origin choice 2)
One atom of each set of equivalent atoms:
Ac  0.250  0.250  0.125
Pa  0.250  0.750  0.500
N  0.250  0.250  0.589
O  0.250  0.750  0.000

Spin magnetization in μB/cell: 0.01
E_tot in eV per cell: -63.00
Excess energy over the best structure of this formula in the dataset in meV per atom: 238.8


The following is a DFT calculation (PBE) of crystalline PmSiIr4 at its relaxed geometry.

abc: 3.834 3.834 7.716
angles: 90.00 90.00 90.00
Space group P4/mmm (No. 123)
One atom of each set of equivalent atoms:
Pm  0.000  0.000  0.000
Si  0.500  0.500  0.500
Ir  0.000  0.500  0.305

Spin magnetization in μB/cell: 0.00
E_tot in eV per cell: -46.48


The following is a DFT calculation (PBE) of crystalline Dy2Er2Tm2LuNi2Te2 at its relaxed geometry.

abc: 3.806 15.450 9.525
angles: 90.00 90.00 90.00
Space group Imm2 (No. 44)
One atom of each set of equivalent atoms:
Dy  0.000  0.133  0.000
Er  0.000  0.315  0.797
Tm  0.000  0.355  0.146
Lu  0.000  0.000  0.420
Ni  0.000  0.235  0.489
Te  0.000  0.000  0.755
Te  0.000  0.500  0.655

Spin magnetization in μB/cell: 0.02
E_tot in eV per cell: -113.16
Excess energy over the best structure of this formula in the dataset in meV per atom: 4.5


The following is a DFT calculation (PBE) of crystalline DyNbSn at its relaxed geometry.

abc: 6.939 6.939 6.939
angles: 90.00 90.00 90.00
Space group F-43m (No. 216)
One atom of each set of equivalent atoms:
Dy  0.000  0.000  0.000
Nb  0.250  0.250  0.250
Sn  0.000  0.000  0.500

Spin magnetization in μB/cell: 11.16
E_tot in eV per cell: -69.67


The following is a DFT calculation (PBE) of crystalline Al2Os2O5 at its relaxed geometry.

abc: 3.416 3.416 7.874
angles: 90.00 90.00 90.00
Space group P4/mmm (No. 123)
One atom of each set of equivalent atoms:
Al  0.000  0.000  0.240
Os  0.500  0.500  0.000
Os  0.500  0.500  0.500
O  0.000  0.000  0.000
O  0.000  0.500  0.343

Spin magnetization in μB/cell: 1.60
E_tot in eV per cell: -63.80
Excess energy over the best structure of this formula in the dataset in meV per atom: 0.0


The following is a DFT calculation (PBE) of crystalline HoTmNiGe2 at its relaxed geometry.

abc: 10.308 4.195 10.127
angles: 90.00 117.63 90.00
Space group C2/m (No. 12)
One atom of each set of equivalent atoms:
Ho  0.187  0.000  0.111
Tm  0.007  0.000  0.333
Ni  0.223  0.500  0.348
Ge  0.018  0.500  0.877
Ge  0.153  0.500  0.563

Spin magnetization in μB/cell: 0.62
E_tot in eV per cell: -111.86


The following is a DFT calculation (PBE) of crystalline CuMo2N at its relaxed geometry.

abc: 2.8424 2.8424 14.2550
angles: 90.00 90.00 120.00
Space group P6_3/mmc (No. 194)
One atom of each set of equivalent atoms:
Cu  0.3333  0.6667  0.2500
Mo  0.3333  0.6667  0.5970
N  0.0000  0.0000  0.0000

Spin magnetization in μB/cell: 0.00
E_tot in eV per cell: -66.72


The following is a DFT calculation (PBE) of crystalline HfMgFeSn at its relaxed geometry.

abc: 6.570 6.570 6.570
angles: 90.00 90.00 90.00
Space group F-43m (No. 216)
One atom of each set of equivalent atoms:
Hf  0.000  0.000  0.000
Mg  0.250  0.250  0.750
Fe  0.000  0.000  0.500
Sn  0.250  0.250  0.250

Spin magnetization in μB/cell: 7.32
E_tot in eV per cell: -91.61
Excess energy over the best structure of this formula in the dataset in meV per atom: 272.5


The following is a DFT calculation (PBE) of crystalline HfFe2Sn at its relaxed geometry.

abc: 4.3433 4.3433 7.9161
angles: 90.00 90.00 120.00
Space group P6_3/mmc (No. 194)
One atom of each set of equivalent atoms:
Hf  0.3333  0.6667  0.2500
Fe  0.3333  0.6667  0.5993
Sn  0.0000  0.0000  0.0000

Spin magnetization in μB/cell: 5.78
E_tot in eV per cell: -62.26


The following is a DFT calculation (PBE) of crystalline NaLuBiIr at its relaxed geometry.

abc: 6.886 6.886 6.886
angles: 90.00 90.00 90.00
Space group F-43m (No. 216)
One atom of each set of equivalent atoms:
Na  0.000  0.000  0.000
Lu  0.250  0.250  0.250
Bi  0.250  0.250  0.750
Ir  0.000  0.000  0.500

Spin magnetization in μB/cell: 0.00
E_tot in eV per cell: -80.42
Excess energy over the best structure of this formula in the dataset in meV per atom: 0.0